(1)
# GdOsNO | OQMD | PBE-GGA | relaxed
# ΔE to the lowest computed polymorph: 4.13 kcal/mol of atoms
# Size of the total moment: 0.0 Bohr magnetons per cell
data_GdOsNO
_chemical_formula_sum 'Gd2 Os2 N2 O2'
_cell_length_a 3.8221
_cell_length_b 3.8221
_cell_length_c 7.6404
_cell_angle_alpha 90.00
_cell_angle_beta 90.00
_cell_angle_gamma 90.00
_symmetry_space_group_name_H-M 'P 4/n m m'
_symmetry_Int_Tables_number 129
loop_
_symmetry_equiv_pos_as_xyz
'x,y,z'
'-x,-y,-z'
'-y+1/2,x,z'
'y+1/2,-x,-z'
'-x+1/2,-y+1/2,z'
'x+1/2,y+1/2,-z'
'y,-x+1/2,z'
'-y,x+1/2,-z'
'x+1/2,-y,-z'
'-x+1/2,y,z'
'-y,-x,-z'
'y,x,z'
'-x,y+1/2,-z'
'x,-y+1/2,z'
'y+1/2,x+1/2,-z'
'-y+1/2,-x+1/2,z'
loop_
_atom_site_label
_atom_site_fract_x
_atom_site_fract_y
_atom_site_fract_z
_atom_site_occupancy
Gd1 0.2500 0.2500 0.1517 1
Os1 0.2500 0.7500 0.5000 1
N1 0.2500 0.2500 0.6235 1
O1 0.2500 0.7500 0.0000 1



(2)
# NaPmB4 | OQMD | PBE-GGA | relaxed
# ΔE to the lowest computed polymorph: 0.00 kcal/mol of atoms
# Size of the total moment: 0.0 Bohr magnetons per cell
data_NaPmB4
_chemical_formula_sum 'Na2 Pm2 B8'
_cell_length_a 3.1619
_cell_length_b 5.6188
_cell_length_c 8.2805
_cell_angle_alpha 90.00
_cell_angle_beta 90.00
_cell_angle_gamma 90.00
_symmetry_space_group_name_H-M 'I m m m'
_symmetry_Int_Tables_number 71
_symmetry_space_group_name_Hall '-I 2 2'
loop_
_atom_site_label
_atom_site_fract_x
_atom_site_fract_y
_atom_site_fract_z
_atom_site_occupancy
Na1 0.0000 0.0000 0.0000 1
Pm1 0.0000 0.0000 0.5000 1
B1 0.0000 0.3179 0.2443 1



Look up the ΔE to the lowest computed polymorph of the first one. 4.13 kcal/mol of atoms



What did the first record say?
# GdOsNO | OQMD | PBE-GGA | relaxed
# ΔE to the lowest computed polymorph: 4.13 kcal/mol of atoms
# Size of the total moment: 0.0 Bohr magnetons per cell
data_GdOsNO
_chemical_formula_sum 'Gd2 Os2 N2 O2'
_cell_length_a 3.8221
_cell_length_b 3.8221
_cell_length_c 7.6404
_cell_angle_alpha 90.00
_cell_angle_beta 90.00
_cell_angle_gamma 90.00
_symmetry_space_group_name_H-M 'P 4/n m m'
_symmetry_Int_Tables_number 129
loop_
_symmetry_equiv_pos_as_xyz
'x,y,z'
'-x,-y,-z'
'-y+1/2,x,z'
'y+1/2,-x,-z'
'-x+1/2,-y+1/2,z'
'x+1/2,y+1/2,-z'
'y,-x+1/2,z'
'-y,x+1/2,-z'
'x+1/2,-y,-z'
'-x+1/2,y,z'
'-y,-x,-z'
'y,x,z'
'-x,y+1/2,-z'
'x,-y+1/2,z'
'y+1/2,x+1/2,-z'
'-y+1/2,-x+1/2,z'
loop_
_atom_site_label
_atom_site_fract_x
_atom_site_fract_y
_atom_site_fract_z
_atom_site_occupancy
Gd1 0.2500 0.2500 0.1517 1
Os1 0.2500 0.7500 0.5000 1
N1 0.2500 0.2500 0.6235 1
O1 0.2500 0.7500 0.0000 1



Copy entry 2 word for word.
# NaPmB4 | OQMD | PBE-GGA | relaxed
# ΔE to the lowest computed polymorph: 0.00 kcal/mol of atoms
# Size of the total moment: 0.0 Bohr magnetons per cell
data_NaPmB4
_chemical_formula_sum 'Na2 Pm2 B8'
_cell_length_a 3.1619
_cell_length_b 5.6188
_cell_length_c 8.2805
_cell_angle_alpha 90.00
_cell_angle_beta 90.00
_cell_angle_gamma 90.00
_symmetry_space_group_name_H-M 'I m m m'
_symmetry_Int_Tables_number 71
_symmetry_space_group_name_Hall '-I 2 2'
loop_
_atom_site_label
_atom_site_fract_x
_atom_site_fract_y
_atom_site_fract_z
_atom_site_occupancy
Na1 0.0000 0.0000 0.0000 1
Pm1 0.0000 0.0000 0.5000 1
B1 0.0000 0.3179 0.2443 1